1.
Here is a geometry-optimized AcCeAs2Rh5 structure from Alexandria via LeMat-Bulk. Energies are from GGA-PBE.

extended XYZ file:
```
9
Lattice="4.132 0.000 0.000 0.000 4.132 0.000 0.000 0.000 11.272" Properties=species:S:1:pos:R:3 pbc="T T T"
Ac 0.000 0.000 0.000
Ce 2.066 2.066 5.636
As 2.066 2.066 2.400
As 2.066 2.066 8.872
Rh 0.000 2.066 3.651
Rh 0.000 2.066 7.621
Rh 2.066 0.000 3.651
Rh 2.066 0.000 7.621
Rh 2.066 2.066 0.000
```

Values from the calculation:
Space group   P4/mmm (123)
Raw total energy   -6.7428 eV/atom
Crystal system   tetragonal
Total magnetization   0.00 μB per cell
ΔE_f   -443 kJ/mol of formula units
Fermi-level density of states   5.7 states/eV per cell

***

2.
Here is a geometry-optimized ThHgTe3 structure from Alexandria via LeMat-Bulk. Energies are from GGA-PBE.

extended XYZ file:
```
10
Lattice="4.472 0.000 0.000 0.000 9.648 0.000 0.000 0.000 8.360" Properties=species:S:1:pos:R:3 pbc="T T T"
Th 0.000 0.953 0.000
Th 0.000 8.696 4.180
Hg 2.236 3.838 5.633
Hg 2.236 5.810 1.453
Te 0.000 2.077 5.293
Te 0.000 7.571 1.113
Te 2.236 0.570 2.403
Te 2.236 3.332 0.133
Te 2.236 6.316 4.313
Te 2.236 9.078 6.583
```

Values from the calculation:
Space group   Pmc2_1 (26)
Raw total energy   -4.1485 eV/atom
Crystal system   orthorhombic
Relative energy among the computed polymorphs   0.000 eV per atom
Total magnetization   0.00 μB per cell
Formation energy (no corrections)   -0.719 eV per atom
Fermi-level density of states   0.3 states/eV per cell